1.
{
  "formula": "LaNd6Th",
  "functional": "PBE",
  "state": "relaxed",
  "de_polymorph_mev_per_atom": 0,
  "spacegroup": "No. 123",
  "crystal_system": "tetragonal",
  "total_energy_ev_per_atom": -5.09,
  "density_kg_m3": 7328,
  "lattice": [[5.189, 0.000, 0.000], [0.000, 5.189, 0.000], [0.000, 0.000, 10.404]],
  "species": ["La", "Nd", "Nd", "Nd", "Nd", "Nd", "Nd", "Th"],
  "frac_coords": [[0.000, 0.000, 0.000], [0.000, 0.500, 0.256], [0.000, 0.500, 0.744], [0.500, 0.000, 0.256], [0.500, 0.000, 0.744], [0.500, 0.500, 0.000], [0.500, 0.500, 0.500], [0.000, 0.000, 0.500]]
}

=====

2.
{
  "formula": "SrSnHgAu",
  "functional": "PBE",
  "state": "relaxed",
  "spacegroup": "No. 216",
  "crystal_system": "cubic",
  "total_energy_ev_per_atom": -2.78,
  "density_kg_m3": 9733,
  "lattice": [[7.442, 0.000, 0.000], [0.000, 7.442, 0.000], [0.000, 0.000, 7.442]],
  "species": ["Sr", "Sr", "Sr", "Sr", "Sn", "Sn", "Sn", "Sn", "Hg", "Hg", "Hg", "Hg", "Au", "Au", "Au", "Au"],
  "frac_coords": [[0.000, 0.000, 0.000], [0.000, 0.500, 0.500], [0.500, 0.000, 0.500], [0.500, 0.500, 0.000], [0.000, 0.000, 0.500], [0.000, 0.500, 0.000], [0.500, 0.000, 0.000], [0.500, 0.500, 0.500], [0.250, 0.250, 0.750], [0.250, 0.750, 0.250], [0.750, 0.250, 0.250], [0.750, 0.750, 0.750], [0.250, 0.250, 0.250], [0.250, 0.750, 0.750], [0.750, 0.250, 0.750], [0.750, 0.750, 0.250]]
}

=====

3.
{
  "formula": "YZr2VIr",
  "functional": "PBE",
  "state": "relaxed",
  "spacegroup": "No. 123",
  "crystal_system": "tetragonal",
  "total_energy_ev_per_atom": -6.54,
  "density_kg_m3": 7540,
  "lattice": [[5.056, 0.000, 0.000], [0.000, 5.056, 0.000], [0.000, 0.000, 4.432]],
  "species": ["Y", "Zr", "Zr", "V", "Ir"],
  "frac_coords": [[0.000, 0.000, 0.000], [0.000, 0.500, 0.000], [0.500, 0.000, 0.000], [0.000, 0.000, 0.500], [0.500, 0.500, 0.500]]
}

=====

4.
{
  "formula": "Be2Cd",
  "functional": "PBE",
  "state": "relaxed",
  "de_polymorph_mev_per_atom": 164,
  "spacegroup": "No. 12",
  "crystal_system": "monoclinic",
  "total_energy_ev_per_atom": -2.40,
  "density_kg_m3": 5541,
  "lattice": [[9.142, 0.000, 0.000], [0.000, 2.778, 0.000], [-1.654, 0.000, 6.156]],
  "species": ["Be", "Be", "Be", "Be", "Be", "Be", "Be", "Be", "Cd", "Cd", "Cd", "Cd"],
  "frac_coords": [[0.017, 0.000, 0.198], [0.135, 0.500, 0.028], [0.365, 0.000, 0.972], [0.483, 0.500, 0.802], [0.517, 0.500, 0.198], [0.635, 0.000, 0.028], [0.865, 0.500, 0.972], [0.983, 0.000, 0.802], [0.177, 0.500, 0.648], [0.323, 0.000, 0.352], [0.677, 0.000, 0.648], [0.823, 0.500, 0.352]]
}

=====

5.
{
  "formula": "SiSeBr",
  "functional": "PBE",
  "state": "relaxed",
  "de_polymorph_mev_per_atom": 291,
  "spacegroup": "No. 160",
  "crystal_system": "trigonal",
  "total_energy_ev_per_atom": -3.77,
  "density_kg_m3": 3919,
  "formation_energy_uncorrected_ev_per_atom": -0.242,
  "lattice": [[3.632, 0.000, 0.000], [-1.816, 3.145, 0.000], [0.000, 0.000, 20.801]],
  "species": ["Si", "Si", "Si", "Se", "Se", "Se", "Br", "Br", "Br"],
  "frac_coords": [[0.000, 0.000, 0.000], [0.333, 0.667, 0.667], [0.667, 0.333, 0.333], [0.000, 0.000, 0.269], [0.333, 0.667, 0.936], [0.667, 0.333, 0.602], [0.000, 0.000, 0.752], [0.333, 0.667, 0.419], [0.667, 0.333, 0.085]]
}

=====

6.
{
  "formula": "Pm4SmAg",
  "functional": "PBE",
  "state": "relaxed",
  "de_polymorph_mev_per_atom": 0,
  "spacegroup": "No. 123",
  "crystal_system": "tetragonal",
  "total_energy_ev_per_atom": -4.50,
  "density_kg_m3": 7319,
  "lattice": [[3.661, 0.000, 0.000], [0.000, 3.661, 0.000], [0.000, 0.000, 14.188]],
  "species": ["Pm", "Pm", "Pm", "Pm", "Sm", "Ag"],
  "frac_coords": [[0.000, 0.000, 0.137], [0.000, 0.000, 0.863], [0.500, 0.500, 0.320], [0.500, 0.500, 0.680], [0.000, 0.000, 0.500], [0.500, 0.500, 0.000]]
}

=====

7.
{
  "formula": "CsAgAs2Br",
  "functional": "PBE",
  "state": "relaxed",
  "de_polymorph_mev_per_atom": 1131,
  "spacegroup": "No. 123",
  "crystal_system": "tetragonal",
  "total_energy_ev_per_atom": -1.78,
  "density_kg_m3": 2908,
  "formation_energy_uncorrected_ev_per_atom": 1.155,
  "lattice": [[6.402, 0.000, 0.000], [0.000, 6.402, 0.000], [0.000, 0.000, 6.556]],
  "species": ["Cs", "Ag", "As", "As", "Br"],
  "frac_coords": [[0.000, 0.000, 0.000], [0.500, 0.500, 0.500], [0.000, 0.500, 0.000], [0.500, 0.000, 0.000], [0.000, 0.000, 0.500]]
}

=====

8.
{
  "formula": "TmBi5Rh3",
  "functional": "PBE",
  "state": "relaxed",
  "spacegroup": "No. 12",
  "crystal_system": "monoclinic",
  "total_energy_ev_per_atom": -5.28,
  "density_kg_m3": 10196,
  "lattice": [[6.113, -4.466, 0.000], [6.113, 4.466, 0.000], [-3.585, 0.000, 9.084]],
  "species": ["Tm", "Tm", "Bi", "Bi", "Bi", "Bi", "Bi", "Bi", "Bi", "Bi", "Bi", "Bi", "Rh", "Rh", "Rh", "Rh", "Rh", "Rh"],
  "frac_coords": [[0.100, 0.100, 0.296], [0.900, 0.900, 0.704], [0.024, 0.623, 0.358], [0.231, 0.231, 0.033], [0.299, 0.701, 0.000], [0.377, 0.976, 0.642], [0.434, 0.434, 0.634], [0.566, 0.566, 0.366], [0.623, 0.024, 0.358], [0.701, 0.299, 0.000], [0.769, 0.769, 0.967], [0.976, 0.377, 0.642], [0.000, 0.000, 0.000], [0.000, 0.000, 0.500], [0.328, 0.328, 0.328], [0.334, 0.334, 0.837], [0.666, 0.666, 0.163], [0.672, 0.672, 0.672]]
}

=====

9.
{
  "formula": "CaTaSeBr2",
  "functional": "PBE",
  "state": "relaxed",
  "de_polymorph_mev_per_atom": 695,
  "spacegroup": "No. 123",
  "crystal_system": "tetragonal",
  "total_energy_ev_per_atom": -3.89,
  "density_kg_m3": 4749,
  "formation_energy_uncorrected_ev_per_atom": 0.244,
  "lattice": [[5.293, 0.000, 0.000], [0.000, 5.293, 0.000], [0.000, 0.000, 5.739]],
  "species": ["Ca", "Ta", "Se", "Br", "Br"],
  "frac_coords": [[0.000, 0.000, 0.000], [0.500, 0.500, 0.500], [0.000, 0.000, 0.500], [0.000, 0.500, 0.000], [0.500, 0.000, 0.000]]
}

=====

10.
{
  "formula": "Cs5ReCl2O4",
  "functional": "PBE",
  "state": "relaxed",
  "spacegroup": "No. 38",
  "crystal_system": "orthorhombic",
  "total_energy_ev_per_atom": -4.96,
  "density_kg_m3": 4240,
  "formation_energy_uncorrected_ev_per_atom": -1.610,
  "lattice": [[9.220, 0.000, 0.000], [0.000, 5.598, 3.739], [0.000, -5.598, 3.739]],
  "species": ["Cs", "Cs", "Cs", "Cs", "Cs", "Re", "Cl", "Cl", "O", "O", "O", "O"],
  "frac_coords": [[0.000, 0.000, 0.000], [0.293, 0.230, 0.591], [0.293, 0.591, 0.230], [0.707, 0.230, 0.591], [0.707, 0.591, 0.230], [0.500, 0.934, 0.934], [0.000, 0.468, 0.888], [0.000, 0.888, 0.468], [0.352, 0.108, 0.108], [0.500, 0.652, 0.916], [0.500, 0.916, 0.652], [0.648, 0.108, 0.108]]
}

=====

11.
{
  "formula": "CdFeSi2",
  "functional": "PBE",
  "state": "relaxed",
  "spacegroup": "No. 12",
  "crystal_system": "monoclinic",
  "total_energy_ev_per_atom": -4.92,
  "density_kg_m3": 5886,
  "formation_energy_uncorrected_ev_per_atom": 0.134,
  "lattice": [[7.769, 0.000, 0.000], [0.000, 2.990, 0.000], [-1.163, 0.000, 5.452]],
  "species": ["Cd", "Cd", "Fe", "Fe", "Si", "Si", "Si", "Si"],
  "frac_coords": [[0.000, 0.000, 0.000], [0.500, 0.500, 0.000], [0.000, 0.500, 0.500], [0.500, 0.000, 0.500], [0.232, 0.000, 0.670], [0.268, 0.500, 0.330], [0.732, 0.500, 0.670], [0.768, 0.000, 0.330]]
}

=====

12.
{
  "formula": "LiGaAg6",
  "functional": "PBE",
  "state": "relaxed",
  "de_polymorph_mev_per_atom": 0,
  "spacegroup": "No. 12",
  "crystal_system": "monoclinic",
  "total_energy_ev_per_atom": -2.82,
  "density_kg_m3": 8688,
  "lattice": [[9.394, 0.000, 0.000], [0.000, 4.347, 0.000], [-2.873, 0.000, 6.776]],
  "species": ["Li", "Li", "Ga", "Ga", "Ag", "Ag", "Ag", "Ag", "Ag", "Ag", "Ag", "Ag", "Ag", "Ag", "Ag", "Ag"],
  "frac_coords": [[0.000, 0.000, 0.000], [0.500, 0.500, 0.000], [0.000, 0.000, 0.500], [0.500, 0.500, 0.500], [0.005, 0.500, 0.748], [0.233, 0.000, 0.368], [0.245, 0.000, 0.871], [0.255, 0.500, 0.129], [0.267, 0.500, 0.632], [0.495, 0.000, 0.252], [0.505, 0.000, 0.748], [0.733, 0.500, 0.368], [0.745, 0.500, 0.871], [0.755, 0.000, 0.129], [0.767, 0.000, 0.632], [0.995, 0.500, 0.252]]
}